Arrangement one

A relaxed structure of Pm7Nd3Ho, computed with GGA-PBE.

```
data_Pm7Nd3Ho
_cell_length_a 5.9695
_cell_length_b 11.3794
_cell_length_c 11.4209
_cell_angle_alpha 90.00
_cell_angle_beta 90.00
_cell_angle_gamma 90.00
_space_group_name_H-M_alt 'I m m m'
_space_group_IT_number 71
_space_group_name_Hall '-I 2 2'
loop_
_atom_site_label
_atom_site_fract_x
_atom_site_fract_y
_atom_site_fract_z
_atom_site_occupancy
Pm1 0.0000 0.0000 0.0000 1
Pm2 0.0000 0.2047 0.3020 1
Pm3 0.0000 0.5000 0.2089 1
Nd1 0.0000 0.0000 0.5000 1
Nd2 0.0000 0.2902 0.0000 1
Ho1 0.0000 0.5000 0.5000 1
```

Computed properties:
Crystal system: orthorhombic


Arrangement two

A relaxed structure of Pm7Nd3Ho, computed with GGA-PBE.

```
data_Pm7Nd3Ho
_cell_length_a 11.7960
_cell_length_b 10.2560
_cell_length_c 6.5109
_cell_angle_alpha 90.00
_cell_angle_beta 94.72
_cell_angle_gamma 90.00
_space_group_name_H-M_alt 'C 1 2/m 1'
_space_group_IT_number 12
loop_
_space_group_symop_operation_xyz
'x,y,z'
'-x,-y,-z'
'-x,y,-z'
'x,-y,z'
'x+1/2,y+1/2,z'
'-x+1/2,-y+1/2,-z'
'-x+1/2,y+1/2,-z'
'x+1/2,-y+1/2,z'
loop_
_atom_site_label
_atom_site_fract_x
_atom_site_fract_y
_atom_site_fract_z
_atom_site_occupancy
Pm1 0.0000 0.0000 0.0000 1
Pm2 0.2402 0.5000 0.2141 1
Pm3 0.2431 0.1719 0.2615 1
Nd1 0.0000 0.3278 0.0000 1
Nd2 0.0000 0.5000 0.5000 1
Ho1 0.0000 0.0000 0.5000 1
```

Computed properties:
Crystal system: monoclinic


Stability ranking, top entry: arrangement two; the second entry is 6 meV/atom less favorable.


Arrangement one

A relaxed structure of Pm2Nd3Ho6, computed with GGA-PBE.

```
data_Pm2Nd3Ho6
_cell_length_a 4.7770
_cell_length_b 4.7770
_cell_length_c 33.2058
_cell_angle_alpha 90.00
_cell_angle_beta 90.00
_cell_angle_gamma 90.00
_space_group_name_H-M_alt 'I 4/m m m'
_space_group_IT_number 139
_space_group_name_Hall '-I 4 2'
loop_
_atom_site_label
_atom_site_fract_x
_atom_site_fract_y
_atom_site_fract_z
_atom_site_occupancy
Pm1 0.0000 0.0000 0.0462 1
Nd1 0.0000 0.0000 0.2962 1
Nd2 0.0000 0.0000 0.5000 1
Ho1 0.0000 0.0000 0.1925 1
Ho2 0.0000 0.5000 0.1206 1
```

Computed properties:
Crystal system: tetragonal


Arrangement two

A relaxed structure of Pm2Nd3Ho6, computed with GGA-PBE.

```
data_Pm2Nd3Ho6
_cell_length_a 6.1766
_cell_length_b 10.7210
_cell_length_c 11.6750
_cell_angle_alpha 90.00
_cell_angle_beta 100.25
_cell_angle_gamma 90.00
_space_group_name_H-M_alt 'C 1 2/m 1'
_space_group_IT_number 12
loop_
_space_group_symop_operation_xyz
'x,y,z'
'-x,-y,-z'
'-x,y,-z'
'x,-y,z'
'x+1/2,y+1/2,z'
'-x+1/2,-y+1/2,-z'
'-x+1/2,y+1/2,-z'
'x+1/2,-y+1/2,z'
loop_
_atom_site_label
_atom_site_fract_x
_atom_site_fract_y
_atom_site_fract_z
_atom_site_occupancy
Pm1 0.0000 0.1665 0.0000 1
Nd1 0.0000 0.0000 0.5000 1
Nd2 0.0000 0.3358 0.5000 1
Ho1 0.2494 0.3335 0.2486 1
Ho2 0.2500 0.0000 0.2489 1
```

Computed properties:
Crystal system: monoclinic


Stability ranking, top entry: arrangement two; the second entry is 70 meV/atom less favorable.